The following is a PBE calculation of Ca2MnTe after structural relaxation, from the Alexandria database.

Lattice parameters (Å, degrees): 8.355 8.355 7.320 90.00 90.00 90.00
Element x y z (fractional)
Ca (0.246, 0.250, 0.125)
Ca (0.250, 0.746, 0.375)
Ca (0.250, 0.754, 0.875)
Ca (0.254, 0.250, 0.625)
Ca (0.746, 0.750, 0.625)
Ca (0.750, 0.246, 0.875)
Ca (0.750, 0.254, 0.375)
Ca (0.754, 0.750, 0.125)
Mn (0.000, 0.000, 0.500)
Mn (0.000, 0.500, 0.750)
Mn (0.500, 0.000, 0.250)
Mn (0.500, 0.500, 0.000)
Te (0.000, 0.000, 0.000)
Te (0.000, 0.500, 0.250)
Te (0.500, 0.000, 0.750)
Te (0.500, 0.500, 0.500)

Values from the calculation:
Formation energy (no corrections) (eV per formula unit): -0.33
N(E_F) (states/eV/f.u.): 2.96
DFT total energy (eV per atom): -4.16